[1]
LaHoIn2S4 | Alexandria via LeMat-Bulk | GGA-PBE | optimized geometry; final energy = -42.76 eV for the cell shown; raw formation energy = -11.3 eV/f.u.; total magnetization = 0.00 Bohr magnetons per cell; space group = P2/m (10)
1.0
4.113 0.000 0.000
0.000 7.822 -0.405
0.000 2.504 6.686
La Ho In S
1 1 2 4
Cartesian
2.056 6.415 6.484
0.000 5.163 3.141
0.000 2.504 6.686
2.056 1.252 3.343
0.000 7.404 4.737
4.113 2.922 1.544
2.056 6.184 1.578
2.056 4.142 4.703

***

[2]
La2HoSc2In5 | Alexandria via LeMat-Bulk | GGA-PBE | optimized geometry; final energy = -89.56 eV for the cell shown; DFT formation energy = -399 meV/atom; total magnetization = 0.24 Bohr magnetons per cell; space group = P4/mbm (127)
1.0
-0.213 2.419 -3.963
1.950 -8.968 -5.578
-10.550 -1.918 -0.604
La Ho Sc In
4 2 4 10
Cartesian
-0.568 -6.438 -3.898
-8.031 -4.448 -2.283
-3.031 -2.225 -1.195
-5.568 -8.662 -4.987
0.000 0.000 0.000
-4.300 -5.443 -3.091
-6.299 -2.256 -1.038
-2.300 -8.631 -5.143
-8.086 -7.242 -3.985
-0.514 -3.644 -2.196
-0.357 -0.720 -3.145
-8.455 -7.748 -7.000
-8.406 -0.870 -2.805
-3.367 -5.928 -6.162
-0.407 -7.598 -7.340
-5.445 -2.540 -3.983
-6.418 -5.170 -5.536
-2.394 -3.298 -4.610
0.869 -3.275 -4.771
-5.381 0.250 -2.284

***

[3]
LaSmHoIn | Alexandria via LeMat-Bulk | GGA-PBE | optimized geometry; distance to the lowest polymorph of the same formula = 0 meV per atom; final energy = -17.61 eV for the cell shown; DFT formation energy = -161 meV/atom; total magnetization = 0.85 Bohr magnetons per cell; space group = F-43m (216)
1.0
-0.159 4.291 -3.561
-0.673 -0.929 -5.460
-4.796 1.379 -2.494
In Ho Sm La
1 1 1 1
Cartesian
-1.407 1.185 -2.879
-4.220 3.556 -8.636
-2.814 2.371 -5.757
0.000 0.000 0.000

***

[4]
LaSmHoIn | Alexandria via LeMat-Bulk | GGA-PBE | optimized geometry; distance to the lowest polymorph of the same formula = 61 meV per atom; final energy = -17.37 eV for the cell shown; DFT formation energy = -101 meV/atom; total magnetization = 0.04 Bohr magnetons per cell; space group = F-43m (216)
1.0
5.520 0.000 0.000
0.000 5.520 0.000
-2.760 -2.760 3.905
La Sm Ho In
1 1 1 1
Cartesian
0.000 0.000 0.000
0.000 2.760 1.952
2.760 0.000 1.952
2.760 2.760 0.000

***

[5]
La3Sm6Ho2In | Alexandria via LeMat-Bulk | GGA-PBE | optimized geometry; final energy = -55.37 eV for the cell shown; DFT formation energy = -32 meV/atom; total magnetization = 0.00 Bohr magnetons per cell; space group = C2/m (12)
1.0
6.255 -0.009 0.005
-3.133 5.414 0.005
-1.069 -1.852 11.656
La Sm Ho In
3 6 2 1
Cartesian
-2.069 3.564 5.833
4.121 -0.011 5.833
1.026 1.777 5.833
3.083 1.807 8.858
2.093 3.625 2.836
-1.031 1.746 2.807
0.025 3.574 8.858
-0.041 -0.071 8.829
2.028 -0.020 2.807
0.003 3.602 0.005
3.119 1.803 0.005
0.000 0.000 0.000

***

[6]
La2Sm2HoIn5 | Alexandria via LeMat-Bulk | GGA-PBE | optimized geometry; final energy = -82.29 eV for the cell shown; DFT formation energy = -358 meV/atom; total magnetization = 0.00 Bohr magnetons per cell; space group = P4/mbm (127)
1.0
-1.426 3.586 -2.638
-10.548 -1.868 3.161
1.371 6.916 8.662
La Sm Ho In
4 4 2 10
Cartesian
-6.895 -0.043 3.668
-2.282 5.091 8.155
-1.419 1.907 3.360
-7.758 3.141 8.464
-0.494 4.107 5.851
-8.682 0.941 5.972
-5.436 4.853 9.535
-3.741 0.195 2.288
0.000 0.000 0.000
-4.588 2.524 5.912
-2.644 1.842 -0.208
-7.959 6.792 9.394
-0.222 7.281 5.877
-7.393 3.555 4.688
-10.381 1.353 3.309
-3.210 5.079 4.498
-5.658 5.526 6.430
-4.944 3.108 2.756
-5.987 0.859 0.262
-0.027 5.251 3.012

***

[7]
LaHoInSn | Alexandria via LeMat-Bulk | GGA-PBE | optimized geometry; final energy = -18.41 eV for the cell shown; DFT formation energy = -540 meV/atom; total magnetization = 0.00 Bohr magnetons per cell; space group = F-43m (216)
1.0
5.458 0.000 0.000
2.729 4.726 0.000
2.729 1.575 4.456
In Ho Sn La
1 1 1 1
Cartesian
8.186 4.726 3.342
0.000 0.000 0.000
2.729 1.575 1.114
5.458 3.151 2.228

***

[8]
LaTbHoIn | Alexandria via LeMat-Bulk | GGA-PBE | optimized geometry; distance to the lowest polymorph of the same formula = 0 meV per atom; final energy = -17.50 eV for the cell shown; DFT formation energy = -156 meV/atom; total magnetization = 1.00 Bohr magnetons per cell; space group = F-43m (216)
1.0
-2.702 -0.065 -4.846
2.834 -0.438 -4.751
-0.264 -4.682 -2.967
In Tb Ho La
1 1 1 1
Cartesian
-0.099 -3.888 -9.423
-0.066 -2.592 -6.282
-0.033 -1.296 -3.141
0.000 0.000 0.000

***

[9]
La2TbHoIn2 | Alexandria via LeMat-Bulk | GGA-PBE | optimized geometry; final energy = -53.37 eV for the cell shown; DFT formation energy = -358 meV/atom; total magnetization = 0.00 Bohr magnetons per cell; space group = Pmc2_1 (26)
1.0
-4.410 -2.406 1.197
1.791 0.020 6.642
-4.625 9.084 1.219
La Tb Ho In
4 2 2 4
Cartesian
-2.316 -0.676 1.249
-0.278 1.644 2.281
-5.510 7.368 5.649
-2.340 7.463 6.381
-0.414 4.194 6.907
-1.683 4.918 3.685
-5.075 5.062 2.615
-2.429 1.634 5.475
-3.396 7.726 3.016
-3.597 2.299 2.509
0.735 1.380 5.484
-3.764 4.398 6.110

***

[10]
La2TbHo2In5 | Alexandria via LeMat-Bulk | GGA-PBE | optimized geometry; final energy = -82.00 eV for the cell shown; DFT formation energy = -367 meV/atom; total magnetization = 0.00 Bohr magnetons per cell; space group = P4/mbm (127)
1.0
4.668 0.000 0.000
0.000 11.070 0.000
0.000 0.000 11.070
La Tb Ho In
4 2 4 10
Cartesian
0.000 7.483 1.948
0.000 3.587 9.122
0.000 1.948 3.587
0.000 9.122 7.483
0.000 0.000 0.000
0.000 5.535 5.535
0.000 1.381 6.916
0.000 9.689 4.154
0.000 6.916 9.689
0.000 4.154 1.381
2.334 2.154 0.683
2.334 8.916 10.387
2.334 0.683 8.916
2.334 7.689 4.852
2.334 10.387 2.154
2.334 3.381 6.218
2.334 6.218 7.689
2.334 4.852 3.381
2.334 5.535 0.000
2.334 0.000 5.535

***

[11]
LaTbHoIn | Alexandria via LeMat-Bulk | GGA-PBE | optimized geometry; distance to the lowest polymorph of the same formula = 64 meV per atom; final energy = -17.24 eV for the cell shown; DFT formation energy = -91 meV/atom; total magnetization = 0.21 Bohr magnetons per cell; space group = F-43m (216)
1.0
-0.928 -2.045 5.006
-4.447 -2.602 -1.887
4.865 -0.774 -2.421
La Tb Ho In
1 1 1 1
Cartesian
0.625 -2.571 2.072
-2.687 -2.323 1.559
0.000 0.000 0.000
-1.134 -2.850 -1.374

***

[12]
LaTb2HoIn4 | Alexandria via LeMat-Bulk | GGA-PBE | optimized geometry; final energy = -33.49 eV for the cell shown; DFT formation energy = -471 meV/atom; total magnetization = 0.00 Bohr magnetons per cell; space group = R-3m (166)
1.0
5.387 0.000 0.000
2.693 4.665 0.000
2.693 1.555 8.841
La Tb Ho In
1 2 1 4
Cartesian
0.000 0.000 0.000
8.080 4.665 6.614
2.693 1.555 2.227
5.387 3.110 4.420
5.387 3.110 7.670
8.080 4.665 3.373
2.693 1.555 5.468
5.387 3.110 1.171